A relaxed structure of Ac2Zn5Ga3. Source: the Alexandria database, functional PBE-GGA.

Cell and atoms, written as POSCAR:
```
Ac2Zn5Ga3
1.0
4.4504 0.0000 0.0000
0.0000 4.4504 0.0000
0.0000 0.0000 10.6974
Ac Zn Ga
2 5 3
Direct
0.5000 0.0000 0.2480 Ac
0.0000 0.5000 0.7520 Ac
0.5000 0.5000 0.0000 Zn
0.0000 0.0000 0.0000 Zn
0.5000 0.0000 0.8770 Zn
0.0000 0.5000 0.1230 Zn
0.5000 0.5000 0.5000 Zn
0.5000 0.0000 0.6371 Ga
0.0000 0.5000 0.3629 Ga
0.0000 0.0000 0.5000 Ga
```

## Properties
**Space group**: P-4m2, No. 115

---

A relaxed structure of Ac4ZnGa. Source: the Alexandria database, functional PBE-GGA.

Cell and atoms, written as POSCAR:
```
Ac4ZnGa
1.0
-0.5051 -5.2395 -1.3313
4.1752 -1.2274 3.2473
-4.8479 -1.0191 5.8510
Ac Zn Ga
4 1 1
Direct
0.5013 0.9972 0.2478 Ac
0.5013 0.9974 0.7485 Ac
0.0013 0.4973 0.7485 Ac
0.0012 0.4973 0.2478 Ac
0.5014 0.4972 0.9981 Zn
0.0013 0.9973 0.4981 Ga
```

## Properties
**Space group**: P4/mmm, No. 123

---

A relaxed structure of Ac2Zn15Ga2. Source: the Alexandria database, functional PBE-GGA.

Cell and atoms, written as POSCAR:
```
Ac2Zn15Ga2
1.0
6.9969 -0.0789 -0.0703
0.8296 6.9480 -0.0703
0.8296 0.7281 6.9101
Ac Zn Ga
2 15 2
Direct
0.3363 0.3363 0.3363 Ac
0.6637 0.6637 0.6637 Ac
0.5000 0.0000 0.0000 Zn
0.0000 0.0000 0.5000 Zn
0.0000 0.5000 0.0000 Zn
0.0000 0.7046 0.2954 Zn
0.7046 0.2954 0.0000 Zn
0.2954 0.0000 0.7046 Zn
0.2954 0.7046 0.0000 Zn
0.7046 0.0000 0.2954 Zn
0.0000 0.2954 0.7046 Zn
0.1636 0.6531 0.6531 Zn
0.6531 0.6531 0.1636 Zn
0.6531 0.1636 0.6531 Zn
0.8364 0.3469 0.3469 Zn
0.3469 0.3469 0.8364 Zn
0.3469 0.8364 0.3469 Zn
0.0972 0.0972 0.0972 Ga
0.9028 0.9028 0.9028 Ga
```

## Properties
**Space group**: R-3m, No. 166

---

A relaxed structure of AcZn4Ga2. Source: the Alexandria database, functional PBE-GGA.

Cell and atoms, written as POSCAR:
```
AcZn4Ga2
1.0
-1.9972 -1.4908 3.5248
3.8884 -0.4967 1.9932
-2.4059 6.9379 1.5711
Ac Zn Ga
1 4 2
Direct
0.0000 0.0000 0.0000 Ac
0.5000 0.8128 0.6256 Zn
0.0000 0.6953 0.3907 Zn
0.5000 0.1872 0.3744 Zn
0.0000 0.3047 0.6093 Zn
0.5000 0.5913 0.1827 Ga
0.5000 0.4087 0.8173 Ga
```

## Properties
**Space group**: Cmmm, No. 65

---

A relaxed structure of Ac2ZnGa. Source: the Alexandria database, functional PBE-GGA.

Cell and atoms, written as POSCAR:
```
Ac2ZnGa
1.0
5.5381 0.0000 0.0000
2.7691 4.7962 0.0000
2.7691 1.5987 4.5219
Ac Zn Ga
2 1 1
Direct
0.7500 0.7500 0.7500 Ac
0.2500 0.2500 0.2500 Ac
0.0000 0.0000 0.0000 Zn
0.5000 0.5000 0.5000 Ga
```

## Properties
**Space group**: Fm-3m, No. 225

---

A relaxed structure of Ac2ZnGa5. Source: the Alexandria database, functional PBE-GGA.

Cell and atoms, written as POSCAR:
```
Ac2ZnGa5
1.0
6.6373 -0.1468 -0.2092
-3.3955 5.7048 0.2092
-3.3955 -1.7439 5.4358
Ac Zn Ga
2 1 5
Direct
0.5000 0.2394 0.7394 Ac
0.5000 0.7394 0.2394 Ac
0.0000 0.0017 0.0017 Zn
0.4128 0.6965 0.6965 Ga
0.0000 0.6965 0.2837 Ga
0.0000 0.2837 0.6965 Ga
0.5872 0.2837 0.2837 Ga
0.0000 0.2812 0.2812 Ga
```

## Properties
**Space group**: I4mm, No. 107

---

Let's list E in order: -2.784 -3.546 -1.982 -2.477 -3.476 -3.467 eV/atom.